(1)
First-principles (PBE-GGA) data for a relaxed structure of BaYAs2, as listed in Alexandria via LeMat-Bulk.

The spin magnetization is 0.00 μB/f.u. The calculation puts the energy above the most stable polymorph in this dataset at 428 meV/atom.

It has space group I-4m2 (No. 119), with a = 4.422 Å, b = 4.422 Å, c = 11.406 Å, α = 90.00°, β = 90.00° and γ = 90.00°. The inequivalent atoms are Ba at (0.000, 0.000, 0.000), Y at (0.000, 0.500, 0.750), As at (0.000, 0.000, 0.500) and As at (0.000, 0.500, 0.250).


(2)
First-principles (PBE-GGA) data for a relaxed structure of Ba2YAs, as listed in Alexandria via LeMat-Bulk.

The spin magnetization is 0.00 μB/f.u. The total energy is -4.10 eV/atom.

It has space group I-42d (No. 122), with a = 11.831 Å, b = 11.831 Å, c = 5.553 Å, α = 90.00°, β = 90.00° and γ = 90.00°. The inequivalent atoms are Ba at (0.108, 0.750, 0.125), Y at (0.000, 0.000, 0.500) and As at (0.000, 0.000, 0.000).


(3)
First-principles (PBE-GGA) data for a relaxed structure of Ba2YAs, as listed in Alexandria via LeMat-Bulk.

The spin magnetization is 1.99 μB/f.u. The total energy is -3.72 eV/atom.

It has space group F-43m (No. 216), with a = 8.126 Å, b = 8.126 Å, c = 8.126 Å, α = 90.00°, β = 90.00° and γ = 90.00°. The inequivalent atoms are Ba at (0.000, 0.000, 0.000), Ba at (0.250, 0.250, 0.250), Y at (0.250, 0.250, 0.750) and As at (0.000, 0.000, 0.500).


(4)
First-principles (PBE-GGA) data for a relaxed structure of BaYAs, as listed in Alexandria via LeMat-Bulk.

The spin magnetization is 0.33 μB/f.u. The calculation puts the energy above the most stable polymorph in this dataset at 82 meV/atom.

It has space group P3m1 (No. 156), with a = 4.2972 Å, b = 4.2972 Å, c = 7.2892 Å, α = 90.00°, β = 90.00° and γ = 120.00°. The inequivalent atoms are Ba at (0.0000, 0.0000, 0.0000), Y at (0.3333, 0.6667, 0.5158) and As at (0.6667, 0.3333, 0.7027).


(5)
First-principles (PBE-GGA) data for a relaxed structure of BaYAs, as listed in Alexandria via LeMat-Bulk.

The spin magnetization is 0.00 μB/f.u. The calculation puts the energy above the most stable polymorph in this dataset at 281 meV/atom.

It has space group F-43m (No. 216), with a = 7.349 Å, b = 7.349 Å, c = 7.349 Å, α = 90.00°, β = 90.00° and γ = 90.00°. The inequivalent atoms are Ba at (0.000, 0.000, 0.000), Y at (0.000, 0.000, 0.500) and As at (0.250, 0.250, 0.750).


(6)
First-principles (PBE-GGA) data for a relaxed structure of BaY2As2, as listed in Alexandria via LeMat-Bulk.

The spin magnetization is 0.00 μB/f.u. The calculation puts the energy above the most stable polymorph in this dataset at 48 meV/atom.

It has space group P4/mbm (No. 127), with a = 8.364 Å, b = 8.364 Å, c = 3.863 Å, α = 90.00°, β = 90.00° and γ = 90.00°. The inequivalent atoms are Ba at (0.000, 0.000, 0.000), Y at (0.147, 0.353, 0.500) and As at (0.144, 0.644, 0.000).


(7)
First-principles (PBE-GGA) data for a relaxed structure of BaY2As2, as listed in Alexandria via LeMat-Bulk.

The spin magnetization is 0.85 μB/f.u. The calculation puts the energy above the most stable polymorph in this dataset at 0 meV/atom.

It has space group I4/mmm (No. 139), with a = 4.717 Å, b = 4.717 Å, c = 13.998 Å, α = 90.00°, β = 90.00° and γ = 90.00°. The inequivalent atoms are Ba at (0.000, 0.000, 0.000), Y at (0.000, 0.500, 0.250) and As at (0.000, 0.000, 0.371).


(8)
First-principles (PBE-GGA) data for a relaxed structure of BaY4As, as listed in Alexandria via LeMat-Bulk.

The spin magnetization is 0.00 μB/f.u. The total energy is -5.07 eV/atom.

It has space group F-43m (No. 216), with a = 9.432 Å, b = 9.432 Å, c = 9.432 Å, α = 90.00°, β = 90.00° and γ = 90.00°. The inequivalent atoms are Ba at (0.000, 0.000, 0.000), Y at (0.125, 0.125, 0.625) and As at (0.250, 0.250, 0.250).


(9)
First-principles (PBE-GGA) data for a relaxed structure of BaY3As, as listed in Alexandria via LeMat-Bulk.

The spin magnetization is 0.00 μB/f.u. The calculation puts the energy above the most stable polymorph in this dataset at 1476 meV/atom.

It has space group Pm-3m (No. 221), with a = 5.601 Å, b = 5.601 Å, c = 5.601 Å, α = 90.00°, β = 90.00° and γ = 90.00°. The inequivalent atoms are Ba at (0.000, 0.000, 0.000), Y at (0.000, 0.000, 0.500) and As at (0.500, 0.500, 0.500).


(10)
First-principles (PBE-GGA) data for a relaxed structure of BaYAs2, as listed in Alexandria via LeMat-Bulk.

The spin magnetization is 0.00 μB/f.u. The calculation puts the energy above the most stable polymorph in this dataset at 168 meV/atom.

It has space group Cmmm (No. 65), with a = 4.895 Å, b = 5.605 Å, c = 8.001 Å, α = 90.00°, β = 90.00° and γ = 90.00°. The inequivalent atoms are Ba at (0.000, 0.000, 0.000), Y at (0.000, 0.000, 0.500) and As at (0.000, 0.500, 0.286).


(11)
First-principles (PBE-GGA) data for a relaxed structure of BaYAs2, as listed in Alexandria via LeMat-Bulk.

The spin magnetization is 0.00 μB/f.u. The calculation puts the energy above the most stable polymorph in this dataset at 0 meV/atom.

It has space group R-3m (No. 166, hexagonal axes), with a = 4.3809 Å, b = 4.3809 Å, c = 22.1136 Å, α = 90.00°, β = 90.00° and γ = 120.00°. The inequivalent atoms are Ba at (0.0000, 0.0000, 0.0000), Y at (0.0000, 0.0000, 0.5000) and As at (0.0000, 0.0000, 0.2354).


(12)
First-principles (PBE-GGA) data for a relaxed structure of BaYAs, as listed in Alexandria via LeMat-Bulk.

The spin magnetization is 0.00 μB/f.u. The calculation puts the energy above the most stable polymorph in this dataset at 0 meV/atom.

It has space group P4/nmm (No. 129, origin choice 2), with a = 4.588 Å, b = 4.588 Å, c = 10.511 Å, α = 90.00°, β = 90.00° and γ = 90.00°. The inequivalent atoms are Ba at (0.250, 0.250, 0.187), Y at (0.250, 0.750, 0.500) and As at (0.250, 0.250, 0.681).


(13)
First-principles (PBE-GGA) data for a relaxed structure of BaYAs, as listed in Alexandria via LeMat-Bulk.

The spin magnetization is 1.07 μB/f.u. The calculation puts the energy above the most stable polymorph in this dataset at 1234 meV/atom.

It has space group F-43m (No. 216), with a = 7.535 Å, b = 7.535 Å, c = 7.535 Å, α = 90.00°, β = 90.00° and γ = 90.00°. The inequivalent atoms are Ba at (0.000, 0.000, 0.000), Y at (0.250, 0.250, 0.250) and As at (0.250, 0.250, 0.750).


(14)
First-principles (PBE-GGA) data for a relaxed structure of BaYAs, as listed in Alexandria via LeMat-Bulk.

The spin magnetization is 0.00 μB/f.u. The calculation puts the energy above the most stable polymorph in this dataset at 133 meV/atom.

It has space group I4mm (No. 107), with a = 3.949 Å, b = 3.949 Å, c = 13.158 Å, α = 90.00°, β = 90.00° and γ = 90.00°. The inequivalent atoms are Ba at (0.000, 0.000, 0.000), Y at (0.000, 0.000, 0.263) and As at (0.000, 0.000, 0.701).


(15)
First-principles (PBE-GGA) data for a relaxed structure of Ba2YAs, as listed in Alexandria via LeMat-Bulk.

The spin magnetization is 0.82 μB/f.u. The total energy is -4.28 eV/atom.

It has space group Immm (No. 71), with a = 3.996 Å, b = 4.241 Å, c = 19.741 Å, α = 90.00°, β = 90.00° and γ = 90.00°. The inequivalent atoms are Ba at (0.000, 0.000, 0.158), Y at (0.000, 0.500, 0.000) and As at (0.000, 0.500, 0.500).


(16)
First-principles (PBE-GGA) data for a relaxed structure of BaYAs2, as listed in Alexandria via LeMat-Bulk.

The spin magnetization is 0.00 μB/f.u. The calculation puts the energy above the most stable polymorph in this dataset at 186 meV/atom.

It has space group Imm2 (No. 44), with a = 3.826 Å, b = 3.984 Å, c = 15.963 Å, α = 90.00°, β = 90.00° and γ = 90.00°. The inequivalent atoms are Ba at (0.000, 0.000, 0.000), Y at (0.000, 0.500, 0.754), As at (0.000, 0.000, 0.617) and As at (0.000, 0.500, 0.326).


(17)
First-principles (PBE-GGA) data for a relaxed structure of Ba2YAs, as listed in Alexandria via LeMat-Bulk.

The spin magnetization is 0.59 μB/f.u. The total energy is -4.26 eV/atom.

It has space group P4mm (No. 99), with a = 4.004 Å, b = 4.004 Å, c = 9.956 Å, α = 90.00°, β = 90.00° and γ = 90.00°. The inequivalent atoms are Ba at (0.000, 0.000, 0.000), Ba at (0.500, 0.500, 0.367), Y at (0.000, 0.000, 0.658) and As at (0.500, 0.500, 0.735).


(18)
First-principles (PBE-GGA) data for a relaxed structure of BaYAs4, as listed in Alexandria via LeMat-Bulk.

The spin magnetization is 0.00 μB/f.u. The total energy is -4.86 eV/atom.

It has space group F-43m (No. 216), with a = 8.323 Å, b = 8.323 Å, c = 8.323 Å, α = 90.00°, β = 90.00° and γ = 90.00°. The inequivalent atoms are Ba at (0.000, 0.000, 0.000), Y at (0.250, 0.250, 0.750) and As at (0.122, 0.122, 0.378).


(19)
First-principles (PBE-GGA) data for a relaxed structure of BaYAs2, as listed in Alexandria via LeMat-Bulk.

The spin magnetization is 0.28 μB/f.u. The calculation puts the energy above the most stable polymorph in this dataset at 320 meV/atom.

It has space group C2/m (No. 12), with a = 8.065 Å, b = 8.060 Å, c = 3.307 Å, α = 90.00°, β = 90.21° and γ = 90.00°. The inequivalent atoms are Ba at (0.000, 0.000, 0.000), Y at (0.000, 0.500, 0.000) and As at (0.250, 0.250, 0.500).


(20)
First-principles (PBE-GGA) data for a relaxed structure of Ba2YAs, as listed in Alexandria via LeMat-Bulk.

The spin magnetization is 0.00 μB/f.u. The total energy is -4.27 eV/atom.

It has space group Amm2 (No. 38), with a = 4.482 Å, b = 5.336 Å, c = 13.559 Å, α = 90.00°, β = 90.00° and γ = 90.00°. The inequivalent atoms are Ba at (0.000, 0.000, 0.000), Ba at (0.500, 0.000, 0.304), Y at (0.000, 0.000, 0.695) and As at (0.500, 0.000, 0.569).